Below is an optimized crystal structure of La6Os2RhI3, with properties calculated at the PBE level.

Output
The density of states at the Fermi level comes out at 7.2 states/eV/cell. As for the uncorrected formation energy: -820 meV per atom. For the density, the calculation gives 7.3 g/cm3. The value obtained for the uncorrected energy is -6.156 eV per atom. As for the symmetry: C2/m, No. 12.

a b c (Å): 7.358 7.358 8.586
angles (deg): 98.22 98.22 120.01
Sites, in units of the cell vectors:
La 0.098 0.438 0.815
La 0.222 0.222 0.185
La 0.438 0.098 0.815
La 0.562 0.902 0.185
La 0.778 0.778 0.815
La 0.902 0.562 0.185
Os 0.167 0.833 0.000
Os 0.833 0.167 0.000
Rh 0.500 0.500 0.000
I 0.000 0.000 0.500
I 0.333 0.667 0.500
I 0.667 0.333 0.500